A relaxed structure of VTc2O2, computed with PBE+U.

Values from the calculation:
The excess energy over the best structure of this formula in the dataset is 0 meV/atom. The value obtained for the size of the total moment is 1.4 μB/f.u. The space group is No. 127.

Geometry as POSCAR:
```
VTc2O2
1.0
5.483 0.000 0.000
0.000 5.483 0.000
0.000 0.000 4.032
V Tc O
2 4 4
Direct
0.000 0.000 0.000
0.500 0.500 0.000
0.148 0.352 0.500
0.352 0.852 0.500
0.648 0.148 0.500
0.852 0.648 0.500
0.179 0.321 0.000
0.321 0.821 0.000
0.679 0.179 0.000
0.821 0.679 0.000
```